First-principles (PBE with a Hubbard U) data for CaV5O7 after structural relaxation, as listed in Alexandria.

a b c (Å): 3.101 5.321 18.135
angles (deg): 89.75 89.98 73.41
Space group P1 (No. 1)
Inequivalent atoms, fractional coordinates:
Ca 0.000 0.000 0.000 x1
Ca 0.426 0.140 0.495 x1
V 0.209 0.578 0.751 x1
V 0.219 0.560 0.250 x1
V 0.474 0.029 0.825 x1
V 0.484 0.026 0.175 x1
V 0.672 0.648 0.600 x1
V 0.680 0.635 0.401 x1
V 0.747 0.502 0.097 x1
V 0.753 0.499 0.897 x1
V 0.933 0.120 0.672 x1
V 0.946 0.108 0.319 x1
O 0.045 0.907 0.575 x1
O 0.050 0.892 0.418 x1
O 0.112 0.783 0.856 x1
O 0.121 0.750 0.142 x1
O 0.297 0.395 0.643 x1
O 0.308 0.385 0.358 x1
O 0.377 0.245 0.077 x1
O 0.390 0.221 0.917 x1
O 0.570 0.853 0.717 x1
O 0.587 0.824 0.285 x1
O 0.665 0.667 0.002 x1
O 0.761 0.475 0.497 x1
O 0.841 0.291 0.785 x1
O 0.846 0.304 0.208 x1

Values from the calculation:
crystal system	triclinic
raw total energy	-200.38	eV per cell